Entry 1:
La8Ce2Pm, relaxed, DFT GGA-PBE; E_tot = -4.96 eV/atom; space-group type = Immm, No. 71; mass density = 6.5 g/cm³; total magnetic moment = 1.8 μB/f.u.
1.0
5.453 0.000 -1.656
-1.030 7.622 -3.391
-0.061 -0.371 9.608
La Ce Pm
8 2 1
Direct
0.641 0.843 0.282
0.359 0.561 0.718
0.158 0.158 0.315
0.000 0.299 0.000
0.842 0.842 0.685
0.641 0.439 0.282
0.359 0.157 0.718
0.000 0.701 0.000
0.199 0.700 0.399
0.801 0.300 0.601
0.500 0.000 0.000

Entry 2:
Sc2OsRu, relaxed, DFT GGA-PBE; E_tot = -8.50 eV/atom; space-group type = Pmmm, No. 47; mass density = 9.4 g/cm³; total magnetic moment = 0.0 μB/f.u.
1.0
-1.418 2.850 -0.749
-2.855 -0.377 3.973
2.874 2.022 2.257
Os Ru Sc
1 1 2
Direct
0.500 0.000 0.500
0.000 0.500 0.500
0.000 0.000 0.000
0.500 0.500 0.000

Entry 3:
Pu2ZnGa4Ir3, relaxed, DFT GGA-PBE; E_tot = -7.32 eV/atom; space-group type = P-4m2, No. 115; mass density = 12.7 g/cm³; total magnetic moment = 10.6 μB/f.u.
1.0
4.028 0.000 0.000
0.000 4.028 0.000
0.000 0.000 11.375
Pu Zn Ga Ir
2 1 4 3
Direct
0.500 0.000 0.236
0.000 0.500 0.764
0.500 0.500 0.500
0.500 0.500 0.000
0.000 0.000 0.000
0.500 0.000 0.635
0.000 0.500 0.365
0.000 0.000 0.500
0.500 0.000 0.856
0.000 0.500 0.144

Entry 4:
ThFeOs, relaxed, DFT GGA-PBE; E_tot = -9.21 eV/atom; space-group type = Imma, No. 74; mass density = 14.6 g/cm³; total magnetic moment = 2.0 μB/f.u.
1.0
-0.735 -4.128 -3.374
-2.185 0.355 4.906
-2.390 4.628 -1.354
Th Fe Os
2 2 2
Direct
0.250 0.121 0.871
0.750 0.879 0.129
0.000 0.500 0.500
0.500 0.000 0.500
0.500 0.500 0.500
0.000 0.500 0.000

Entry 5:
LiAcZnCu2, relaxed, DFT GGA-PBE; E_tot = -3.26 eV/atom; space-group type = I-4m2, No. 119; mass density = 7.2 g/cm³; total magnetic moment = 0.0 μB/f.u.
1.0
4.210 0.000 0.000
0.000 4.210 0.000
-2.105 -2.105 5.579
Li Ac Zn Cu
1 1 1 2
Direct
0.750 0.250 0.500
0.000 0.000 0.000
0.250 0.750 0.500
0.614 0.614 0.227
0.386 0.386 0.773

Entry 6:
BaLiTi2Ga, relaxed, DFT GGA-PBE; E_tot = -3.55 eV/atom; space-group type = P4/mmm, No. 123; mass density = 4.4 g/cm³; total magnetic moment = 0.0 μB/f.u.
1.0
4.849 0.000 0.000
0.000 5.008 0.000
0.000 0.000 4.849
Li Ba Ga Ti
1 1 1 2
Direct
0.000 0.000 0.000
0.000 0.500 0.000
0.500 0.500 0.500
0.000 0.000 0.500
0.500 0.000 0.000

Number 1: energy of formation from the pure elements 0.1379 eV per atom. Number 2: energy of formation from the pure elements -0.2061 eV per atom. Number 3: energy of formation from the pure elements -0.4522 eV per atom. Number 4: energy of formation from the pure elements -0.1762 eV per atom. Number 5: energy of formation from the pure elements -0.1616 eV per atom. Number 6: energy of formation from the pure elements 0.9807 eV per atom.